A geometry-optimized OsBr2Cl4 structure. Source: Alexandria, functional GGA-PBE.

```
data_OsBr2Cl4
_cell_length_a 7.2201
_cell_length_b 8.3901
_cell_length_c 7.3199
_cell_angle_alpha 130.14
_cell_angle_beta 119.55
_cell_angle_gamma 90.00
_symmetry_space_group_name_H-M 'P 1'
_symmetry_Int_Tables_number 1
loop_
_symmetry_equiv_pos_as_xyz
'x,y,z'
loop_
_atom_site_label
_atom_site_fract_x
_atom_site_fract_y
_atom_site_fract_z
_atom_site_occupancy
Os1 0.0000 0.0000 0.0000 1
Br1 0.2846 0.3313 0.5692 1
Br2 0.7154 0.6687 0.4308 1
Cl1 0.0134 0.7457 0.0267 1
Cl2 0.9866 0.2543 0.9733 1
Cl3 0.4385 0.8231 0.8770 1
Cl4 0.5615 0.1769 0.1230 1
```

Calculated values
The calculation puts the uncorrected formation energy at 28 meV per atom. Its space group is C2/m, No. 12. As for the density: 3.2 g cm⁻³.